CaH16C4N8Cl2O4 | PBE-GGA | relaxed

Calculated values
E_tot (eV per atom): -5.9440

Cell and atoms, written as CIF:
```
data_CaH16C4N8Cl2O4
_symmetry_space_group_name_H-M 'P 1'
_symmetry_Int_Tables_number 1
_cell_length_a 7.800
_cell_length_b 8.297
_cell_length_c 12.855
_cell_angle_alpha 90.00
_cell_angle_beta 90.00
_cell_angle_gamma 113.97
loop_
_symmetry_equiv_pos_as_xyz
'x,y,z'
loop_
_atom_site_label
_atom_site_type_symbol
_atom_site_fract_x
_atom_site_fract_y
_atom_site_fract_z
Ca1 Ca 0.000 0.000 0.500
Ca2 Ca 0.500 0.000 0.000
H1 H 0.437 0.736 0.505
H2 H 0.063 0.264 0.005
H3 H 0.563 0.264 0.495
H4 H 0.937 0.736 0.995
H5 H 0.432 0.934 0.746
H6 H 0.068 0.066 0.246
H7 H 0.568 0.066 0.254
H8 H 0.932 0.934 0.754
H9 H 0.536 0.822 0.671
H10 H 0.964 0.178 0.171
H11 H 0.464 0.178 0.329
H12 H 0.036 0.822 0.829
H13 H 0.181 0.432 0.576
H14 H 0.319 0.568 0.076
H15 H 0.819 0.568 0.424
H16 H 0.681 0.432 0.924
H17 H 0.200 0.553 0.690
H18 H 0.300 0.447 0.190
H19 H 0.800 0.447 0.310
H20 H 0.700 0.553 0.810
H21 H 0.872 0.186 0.829
H22 H 0.628 0.814 0.329
H23 H 0.128 0.814 0.171
H24 H 0.372 0.186 0.671
H25 H 0.025 0.412 0.837
H26 H 0.475 0.588 0.337
H27 H 0.975 0.588 0.163
H28 H 0.525 0.412 0.663
H29 H 0.271 0.803 0.446
H30 H 0.229 0.197 0.946
H31 H 0.729 0.197 0.554
H32 H 0.771 0.803 0.054
C1 C 0.329 0.874 0.598
C2 C 0.171 0.126 0.098
C3 C 0.671 0.126 0.402
C4 C 0.829 0.874 0.902
C5 C 0.014 0.291 0.695
C6 C 0.486 0.709 0.195
C7 C 0.986 0.709 0.305
C8 C 0.514 0.291 0.805
N1 N 0.340 0.790 0.511
N2 N 0.160 0.210 0.011
N3 N 0.660 0.210 0.489
N4 N 0.840 0.790 0.989
N5 N 0.430 0.863 0.681
N6 N 0.070 0.137 0.181
N7 N 0.570 0.137 0.319
N8 N 0.930 0.863 0.819
N9 N 0.133 0.441 0.649
N10 N 0.367 0.559 0.149
N11 N 0.867 0.559 0.351
N12 N 0.633 0.441 0.851
N13 N 0.971 0.297 0.796
N14 N 0.529 0.703 0.296
N15 N 0.029 0.703 0.204
N16 N 0.471 0.297 0.704
Cl1 Cl 0.710 0.689 0.570
Cl2 Cl 0.790 0.311 0.070
Cl3 Cl 0.290 0.311 0.430
Cl4 Cl 0.210 0.689 0.930
O1 O 0.223 0.956 0.605
O2 O 0.277 0.044 0.105
O3 O 0.777 0.044 0.395
O4 O 0.723 0.956 0.895
O5 O 0.942 0.147 0.643
O6 O 0.558 0.853 0.143
O7 O 0.058 0.853 0.357
O8 O 0.442 0.147 0.857
```